Compound: ErSc2Hg2
Source: Alexandria
Functional: GGA-PBE
Structure: optimized geometry

Results
- total magnetic moment (Bohr magnetons per cell) = 0.0
- relative energy among the computed polymorphs (eV per atom) = 0.162
- space group = P-3m1 (164)

Geometry as extended XYZ:
```
5
Lattice="4.965 0.000 0.000 -2.482 4.300 0.000 0.000 0.000 6.072" Properties=species:S:1:pos:R:3 pbc="T T T"
Er 0.000 0.000 0.000
Sc 0.000 2.867 3.985
Sc 2.482 1.433 2.088
Hg 0.000 2.867 1.121
Hg 2.482 1.433 4.951
```

***

Compound: LaTbSb
Source: Alexandria
Functional: GGA-PBE
Structure: optimized geometry

Results
- total magnetic moment (Bohr magnetons per cell) = 0.1
- formation energy (no corrections) (kJ/mol of formula units) = -194
- space group = I4mm (107)

Geometry as extended XYZ:
```
3
Lattice="-2.061 2.061 5.284 2.061 -2.061 5.284 2.061 2.061 -5.284" Properties=species:S:1:pos:R:3 pbc="T T T"
La 0.000 0.000 0.000
Tb 0.000 0.000 3.167
Sb 0.000 0.000 7.047
```

***

Compound: Er6AgPd5
Source: Alexandria
Functional: GGA-PBE
Structure: optimized geometry

Results
- total magnetic moment (Bohr magnetons per cell) = 0.0
- relative energy among the computed polymorphs (eV per atom) = 0.000
- space group = Cmmm (65)

Geometry as extended XYZ:
```
12
Lattice="2.473 -7.387 0.000 2.473 7.387 0.000 0.000 0.000 7.040" Properties=species:S:1:pos:R:3 pbc="T T T"
Er 0.000 0.000 1.718
Er 0.000 0.000 5.322
Er 2.473 2.498 1.743
Er 2.473 2.498 5.297
Er 2.473 -2.498 1.743
Er 2.473 -2.498 5.297
Ag 2.473 0.000 3.520
Pd 2.473 4.958 3.520
Pd 2.473 4.923 0.000
Pd 2.473 0.000 0.000
Pd 2.473 -4.923 0.000
Pd 2.473 -4.958 3.520
```

***

Compound: P2IrRu
Source: Alexandria
Functional: GGA-PBE
Structure: optimized geometry

Results
- total magnetic moment (Bohr magnetons per cell) = 0.0
- relative energy among the computed polymorphs (eV per atom) = 0.175
- space group = Pmm2 (25)

Geometry as extended XYZ:
```
4
Lattice="2.983 0.000 0.000 0.000 3.660 0.000 0.000 0.000 4.993" Properties=species:S:1:pos:R:3 pbc="T T T"
P 0.000 0.000 0.000
P 1.491 1.830 1.787
Ir 1.491 1.830 4.325
Ru 0.000 0.000 2.462
```

***

Compound: Ac2InPdAu6
Source: Alexandria
Functional: GGA-PBE
Structure: optimized geometry

Results
- total magnetic moment (Bohr magnetons per cell) = 0.0
- E (eV/atom) = -4.11
- space group = P-1 (2)

Geometry as extended XYZ:
```
10
Lattice="5.443 0.000 0.000 2.716 6.343 0.000 2.710 -0.149 7.190" Properties=species:S:1:pos:R:3 pbc="T T T"
Ac 1.354 1.614 1.428
Ac 9.514 4.580 5.762
In 4.077 -0.075 3.595
Pd 4.079 3.171 0.000
Au 2.703 1.242 5.610
Au 4.075 2.703 2.922
Au 5.438 4.950 1.573
Au 5.430 1.244 5.617
Au 6.793 3.491 4.268
Au 8.166 4.951 1.579
```

***

Compound: La3Se
Source: Alexandria
Functional: GGA-PBE
Structure: optimized geometry

Results
- total magnetic moment (Bohr magnetons per cell) = 0.0
- formation energy (no corrections) (kJ/mol of formula units) = -288
- space group = Immm (71)

Geometry as extended XYZ:
```
4
Lattice="-1.864 2.481 6.838 1.864 -2.481 6.838 1.864 2.481 -6.838" Properties=species:S:1:pos:R:3 pbc="T T T"
La 0.000 0.000 0.000
La 1.864 0.000 4.149
La 0.000 2.481 2.688
Se 0.000 0.000 6.838
```

***

DOS(E_F) (states/eV/cell)
6.79 3.88 8.98 1.98 3.70 4.91